Record 1
Below is a relaxed structure of ZnRuPt2, with properties calculated at the GGA-PBE level.

The structure in POSCAR format:
```
ZnRuPt2
1.0
2.7768 0.0000 0.0000
0.0000 3.9024 0.0000
0.0000 0.0000 5.4603
Zn Ru Pt
1 1 2
Cartesian
0.0000 0.0000 0.0000
0.0000 0.0000 2.7301
1.3884 1.9512 1.3797
1.3884 1.9512 4.0806
```

- Crystal system: orthorhombic
- Energy relative to the elements: -170 meV per atom

Record 2
Below is a relaxed structure of ZnRu2Pt, with properties calculated at the GGA-PBE level.

The structure in POSCAR format:
```
ZnRu2Pt
1.0
2.7617 0.0000 0.0000
0.0000 2.7617 0.0000
0.0000 0.0000 7.5367
Zn Ru Pt
1 2 1
Cartesian
0.0000 0.0000 0.0000
1.3808 1.3808 1.8571
1.3808 1.3808 5.6796
0.0000 0.0000 3.7683
```

- Crystal system: tetragonal
- Energy relative to the elements: 101 meV per atom

Record 3
Below is a relaxed structure of Zn2RuPt2, with properties calculated at the GGA-PBE level.

The structure in POSCAR format:
```
Zn2RuPt2
1.0
7.2981 0.0000 0.0000
0.0000 7.2981 0.0000
0.0000 0.0000 2.7933
Zn Ru Pt
4 2 4
Cartesian
0.9178 2.7312 0.0000
2.7312 6.3802 0.0000
4.5668 0.9178 0.0000
6.3802 4.5668 0.0000
0.0000 0.0000 0.0000
3.6490 3.6490 0.0000
1.2645 4.9135 1.3967
2.3846 1.2645 1.3967
4.9135 6.0336 1.3967
6.0336 2.3846 1.3967
```

- Crystal system: tetragonal
- Energy relative to the elements: -118 meV per atom
- ΔE to the lowest computed polymorph: 0.00 eV per formula unit

Record 4
Below is a relaxed structure of ZnRu2Pt, with properties calculated at the GGA-PBE level.

The structure in POSCAR format:
```
ZnRu2Pt
1.0
6.1742 0.0000 0.0000
0.0000 6.1742 0.0000
0.0000 0.0000 6.1742
Zn Ru Pt
4 8 4
Cartesian
0.0000 0.0000 0.0000
0.0000 3.0871 3.0871
3.0871 0.0000 3.0871
3.0871 3.0871 0.0000
0.0000 0.0000 3.0871
0.0000 3.0871 0.0000
1.5435 1.5435 4.6306
1.5435 4.6306 1.5435
3.0871 0.0000 0.0000
3.0871 3.0871 3.0871
4.6306 1.5435 1.5435
4.6306 4.6306 4.6306
1.5435 1.5435 1.5435
1.5435 4.6306 4.6306
4.6306 1.5435 4.6306
4.6306 4.6306 1.5435
```

- Crystal system: cubic
- Energy relative to the elements: 185 meV per atom

Record 5
Below is a relaxed structure of ZnRuPt2, with properties calculated at the GGA-PBE level.

The structure in POSCAR format:
```
ZnRuPt2
1.0
2.7666 0.0000 0.0000
-1.3833 2.3959 0.0000
0.0000 0.0000 26.8259
Zn Ru Pt
3 3 6
Cartesian
0.0000 0.0000 0.0000
0.0000 1.5973 17.8839
1.3833 0.7986 8.9419
0.0000 0.0000 6.7913
0.0000 1.5973 24.6752
1.3833 0.7986 15.7332
0.0000 0.0000 13.5138
0.0000 0.0000 20.0434
0.0000 1.5973 4.5719
0.0000 1.5973 11.1014
1.3833 0.7986 2.1594
1.3833 0.7986 22.4558
```

- Crystal system: trigonal
- Energy relative to the elements: -100 meV per atom

Record 6
Below is a relaxed structure of Zn2RuPt, with properties calculated at the GGA-PBE level.

The structure in POSCAR format:
```
Zn2RuPt
1.0
2.9322 0.0000 0.0000
0.0000 4.6581 0.0000
0.0000 0.0000 8.5902
Zn Ru Pt
4 2 2
Cartesian
0.0000 0.0000 2.1194
0.0000 0.0000 6.4707
1.4661 2.3291 2.1194
1.4661 2.3291 6.4707
0.0000 2.3291 0.0000
1.4661 0.0000 0.0000
0.0000 2.3291 4.2951
1.4661 0.0000 4.2951
```

- Crystal system: orthorhombic
- Energy relative to the elements: -102 meV per atom

Record 7
Below is a relaxed structure of Zn2RuPt, with properties calculated at the GGA-PBE level.

The structure in POSCAR format:
```
Zn2RuPt
1.0
8.6201 0.0000 0.0000
0.0000 2.7609 0.0000
-0.8428 0.0000 4.8581
Zn Ru Pt
4 2 2
Cartesian
1.9412 0.0000 1.1842
1.5261 1.3804 3.6739
6.2512 1.3804 1.1842
5.8361 0.0000 3.6739
0.0000 1.3804 0.0000
4.3101 0.0000 0.0000
-0.4214 0.0000 2.4290
3.8887 1.3804 2.4290
```

- Crystal system: monoclinic
- Energy relative to the elements: -178 meV per atom

Record 8
Below is a relaxed structure of Zn2RuPt, with properties calculated at the GGA-PBE level.

The structure in POSCAR format:
```
Zn2RuPt
1.0
3.0125 0.0000 0.0000
0.0000 3.0411 0.0000
0.0000 0.0000 6.1990
Zn Ru Pt
2 1 1
Cartesian
0.0000 0.0000 1.5215
0.0000 0.0000 4.6774
1.5063 1.5206 0.0000
1.5063 1.5206 3.0995
```

- Crystal system: orthorhombic
- Energy relative to the elements: -205 meV per atom

Record 9
Below is a relaxed structure of Zn2RuPt, with properties calculated at the GGA-PBE level.

The structure in POSCAR format:
```
Zn2RuPt
1.0
4.2033 0.0000 0.0000
0.0000 2.7056 0.0000
0.0000 0.0000 10.0793
Zn Ru Pt
4 2 2
Cartesian
0.0000 0.0000 0.0000
0.0000 1.3528 5.0396
2.1017 0.0000 1.4448
2.1017 1.3528 6.4844
2.1017 0.0000 4.0596
2.1017 1.3528 9.0993
0.0000 0.0000 7.5069
0.0000 1.3528 2.4673
```

- Crystal system: orthorhombic
- Energy relative to the elements: -129 meV per atom

Record 10
Below is a relaxed structure of ZnRu2Pt, with properties calculated at the GGA-PBE level.

The structure in POSCAR format:
```
ZnRu2Pt
1.0
2.7533 0.0000 0.0000
0.0000 4.6543 0.0000
0.0000 0.0000 9.1803
Zn Ru Pt
2 4 2
Cartesian
0.0000 0.0000 0.0000
1.3766 2.3272 0.0000
0.0000 2.3272 2.2203
0.0000 2.3272 6.9600
1.3766 0.0000 2.2203
1.3766 0.0000 6.9600
0.0000 0.0000 4.5902
1.3766 2.3272 4.5902
```

- Crystal system: orthorhombic
- Energy relative to the elements: 251 meV per atom

Record 11
Below is a relaxed structure of ZnRuPt2, with properties calculated at the GGA-PBE level.

The structure in POSCAR format:
```
ZnRuPt2
1.0
2.7708 0.0000 0.0000
0.0000 2.7708 0.0000
0.0000 0.0000 7.7113
Zn Ru Pt
1 1 2
Cartesian
0.0000 0.0000 0.0000
1.3854 1.3854 5.8196
0.0000 0.0000 3.9681
1.3854 1.3854 1.8718
```

- Crystal system: tetragonal
- Energy relative to the elements: -115 meV per atom

Record 12
Below is a relaxed structure of Zn2RuPt, with properties calculated at the GGA-PBE level.

The structure in POSCAR format:
```
Zn2RuPt
1.0
2.7555 0.0000 0.0000
-1.3778 2.3863 0.0000
0.0000 0.0000 26.7477
Zn Ru Pt
6 3 3
Cartesian
0.0000 0.0000 0.0000
0.0000 0.0000 6.6310
0.0000 1.5909 17.8318
0.0000 1.5909 24.4628
1.3778 0.7954 8.9159
1.3778 0.7954 15.5469
0.0000 0.0000 13.3961
0.0000 1.5909 4.4802
1.3778 0.7954 22.3120
0.0000 0.0000 20.0314
0.0000 1.5909 11.1155
1.3778 0.7954 2.1996
```

- Crystal system: trigonal
- Energy relative to the elements: -47 meV per atom

Record 13
Below is a relaxed structure of ZnRu2Pt, with properties calculated at the GGA-PBE level.

The structure in POSCAR format:
```
ZnRu2Pt
1.0
2.7648 0.0000 0.0000
0.0000 3.7621 0.0000
0.0000 0.0000 5.5439
Zn Ru Pt
1 2 1
Cartesian
0.0000 0.0000 0.0000
0.0000 0.0000 2.8837
1.3824 1.8811 4.0405
1.3824 1.8811 1.2871
```

- Crystal system: orthorhombic
- Energy relative to the elements: -87 meV per atom

Record 14
Below is a relaxed structure of Zn2RuPt, with properties calculated at the GGA-PBE level.

The structure in POSCAR format:
```
Zn2RuPt
1.0
4.2990 0.0000 0.0000
0.0000 4.2990 0.0000
0.0000 0.0000 3.0653
Zn Ru Pt
2 1 1
Cartesian
0.0000 2.1495 0.0000
2.1495 0.0000 0.0000
0.0000 0.0000 1.5327
2.1495 2.1495 1.5327
```

- Crystal system: tetragonal
- Energy relative to the elements: -206 meV per atom

Record 15
Below is a relaxed structure of ZnRu2Pt, with properties calculated at the GGA-PBE level.

The structure in POSCAR format:
```
ZnRu2Pt
1.0
3.8486 0.0000 0.0000
0.0000 3.8486 0.0000
0.0000 0.0000 7.7382
Zn Ru Pt
2 4 2
Cartesian
0.0000 0.0000 0.0000
1.9243 1.9243 3.8691
0.0000 0.0000 3.8691
0.0000 1.9243 5.8037
1.9243 0.0000 1.9346
1.9243 1.9243 0.0000
0.0000 1.9243 1.9346
1.9243 0.0000 5.8037
```

- Crystal system: tetragonal
- Energy relative to the elements: -21 meV per atom

Record 16
Below is a relaxed structure of ZnRu2Pt, with properties calculated at the GGA-PBE level.

The structure in POSCAR format:
```
ZnRu2Pt
1.0
2.7632 0.0000 0.0000
0.0000 2.7632 0.0000
0.0000 0.0000 7.5367
Zn Ru Pt
1 2 1
Cartesian
0.0000 0.0000 0.0000
0.0000 0.0000 3.9193
1.3816 1.3816 5.6267
1.3816 1.3816 1.8929
```

- Crystal system: tetragonal
- Energy relative to the elements: -125 meV per atom

Record 17
Below is a relaxed structure of ZnRuPt, with properties calculated at the GGA-PBE level.

The structure in POSCAR format:
```
ZnRuPt
1.0
2.7699 0.0000 0.0000
-1.3849 2.3988 0.0000
0.0000 0.0000 6.5773
Zn Ru Pt
1 1 1
Cartesian
0.0000 0.0000 0.0000
0.0000 1.5992 4.4270
1.3849 0.7996 2.1979
```

- Crystal system: trigonal
- Energy relative to the elements: -67 meV per atom
- ΔE to the lowest computed polymorph: 0.10 eV per formula unit

Record 18
Below is a relaxed structure of ZnRu2Pt, with properties calculated at the GGA-PBE level.

The structure in POSCAR format:
```
ZnRu2Pt
1.0
5.2615 0.0000 0.0000
0.0000 8.0737 0.0000
0.0000 0.0000 2.7226
Zn Ru Pt
2 4 2
Cartesian
0.0000 0.0000 0.0000
2.6308 4.0368 0.0000
1.3154 2.0184 1.3613
1.3154 6.0553 1.3613
3.9461 2.0184 1.3613
3.9461 6.0553 1.3613
0.0000 4.0368 0.0000
2.6308 0.0000 0.0000
```

- Crystal system: orthorhombic
- Energy relative to the elements: 98 meV per atom

Record 19
Below is a relaxed structure of ZnRuPt2, with properties calculated at the GGA-PBE level.

The structure in POSCAR format:
```
ZnRuPt2
1.0
2.7562 0.0000 0.0000
0.0000 4.5027 0.0000
0.0000 0.0000 4.7725
Zn Ru Pt
1 1 2
Cartesian
0.0000 0.0000 0.0000
0.0000 2.2514 1.7023
1.3781 0.0000 2.3469
1.3781 2.2514 4.0900
```

- Crystal system: orthorhombic
- Energy relative to the elements: -166 meV per atom

Record 20
Below is a relaxed structure of ZnRuPt2, with properties calculated at the GGA-PBE level.

The structure in POSCAR format:
```
ZnRuPt2
1.0
2.7661 0.0000 0.0000
0.0000 4.6781 0.0000
0.0000 0.0000 9.2729
Zn Ru Pt
2 2 4
Cartesian
0.0000 0.0000 0.0000
1.3830 2.3390 4.6365
0.0000 2.3390 2.3699
1.3830 0.0000 7.0063
0.0000 0.0000 4.6956
0.0000 2.3390 6.8657
1.3830 0.0000 2.2293
1.3830 2.3390 0.0592
```

- Crystal system: orthorhombic
- Energy relative to the elements: -46 meV per atom